Record 1
Computed, not measured: a geometry-optimized TcSbMo2 structure at the PBE-GGA level of DFT.

abc: 10.132 10.132 10.132
angles: 158.18 158.18 31.05
Fractional positions:
Tc1 0.000 0.000 0.000
Tc2 0.750 0.250 0.500
Sb1 0.250 0.750 0.500
Sb2 0.500 0.500 0.000
Mo1 0.136 0.625 0.011
Mo2 0.375 0.386 0.511
Mo3 0.614 0.125 0.989
Mo4 0.875 0.864 0.489

Results
The theoretical density is 9.5 g/cm³. As for the uncorrected formation energy: 703 meV/atom. As for the size of the total moment: 0.00 μB/f.u.

Record 2
Computed, not measured: a geometry-optimized TcSbMo2 structure at the PBE-GGA level of DFT.

abc: 4.969 4.969 3.020
angles: 90.00 90.00 115.64
Fractional positions:
Tc1 0.000 0.000 0.000
Sb1 0.500 0.500 0.000
Mo1 0.000 0.500 0.500
Mo2 0.500 0.000 0.500

Results
The theoretical density is 10.2 g/cm³. As for the uncorrected formation energy: 326 meV/atom. As for the size of the total moment: 0.00 μB/f.u.

Record 3
Computed, not measured: a geometry-optimized TcSbMo2 structure at the PBE-GGA level of DFT.

abc: 3.239 3.239 6.349
angles: 90.00 90.00 90.00
Fractional positions:
Tc1 0.000 0.000 0.000
Sb1 0.500 0.500 0.753
Mo1 0.000 0.000 0.482
Mo2 0.500 0.500 0.256

Results
The theoretical density is 10.3 g/cm³. As for the uncorrected formation energy: 199 meV/atom. As for the size of the total moment: 0.00 μB/f.u.

Record 4
Computed, not measured: a geometry-optimized Tc2SbMo structure at the PBE-GGA level of DFT.

abc: 5.024 5.024 4.645
angles: 106.29 106.29 35.73
Fractional positions:
Tc1 0.000 0.000 0.000
Tc2 0.736 0.736 0.146
Sb1 0.489 0.489 0.476
Mo1 0.246 0.246 0.679

Results
The theoretical density is 10.5 g/cm³. As for the uncorrected formation energy: 200 meV/atom. As for the size of the total moment: 0.00 μB/f.u.

Record 5
Computed, not measured: a geometry-optimized TcSbMo3 structure at the PBE-GGA level of DFT.

abc: 4.743 4.743 4.743
angles: 90.00 90.00 90.00
Fractional positions:
Tc1 0.000 0.000 0.000
Sb1 0.500 0.500 0.500
Mo1 0.000 0.000 0.500
Mo2 0.000 0.500 0.000
Mo3 0.500 0.000 0.000

Results
The theoretical density is 7.9 g/cm³. The calculation puts the energy relative to the lowest polymorph listed for this composition at 0.00 eV per formula unit. As for the uncorrected formation energy: 1430 meV/atom. As for the size of the total moment: 1.98 μB/f.u.

Record 6
Computed, not measured: a geometry-optimized TcSbMo2 structure at the PBE-GGA level of DFT.

abc: 3.041 3.041 7.279
angles: 90.00 90.00 90.00
Fractional positions:
Tc1 0.000 0.000 0.000
Sb1 0.000 0.000 0.500
Mo1 0.500 0.500 0.229
Mo2 0.500 0.500 0.771

Results
The theoretical density is 10.2 g/cm³. As for the uncorrected formation energy: 256 meV/atom. As for the size of the total moment: 0.00 μB/f.u.

Record 7
Computed, not measured: a geometry-optimized Tc2SbMo structure at the PBE-GGA level of DFT.

abc: 5.294 5.294 5.294
angles: 144.26 131.21 61.94
Fractional positions:
Tc1 0.000 0.000 0.000
Tc2 0.738 0.238 0.500
Sb1 0.498 0.498 0.000
Mo1 0.249 0.749 0.500

Results
The theoretical density is 10.6 g/cm³. As for the uncorrected formation energy: 170 meV/atom. As for the size of the total moment: 0.00 μB/f.u.

Record 8
Computed, not measured: a geometry-optimized Tc3SbMo structure at the PBE-GGA level of DFT.

abc: 4.702 4.702 4.702
angles: 90.00 90.00 90.00
Fractional positions:
Tc1 0.000 0.000 0.500
Tc2 0.000 0.500 0.000
Tc3 0.500 0.000 0.000
Sb1 0.500 0.500 0.500
Mo1 0.000 0.000 0.000

Results
The theoretical density is 8.2 g/cm³. The calculation puts the energy relative to the lowest polymorph listed for this composition at 0.00 eV per formula unit. As for the uncorrected formation energy: 1548 meV/atom. As for the size of the total moment: 1.06 μB/f.u.

What is the size of the total moment in the first record? 0.00 μB/f.u.